# InHgS2O8 (PBE, relaxed)
data_InHgS2O8
_space_group_name_H-M_alt 'R -3'
_space_group_IT_number 148
_space_group_name_Hall '-R 3'
_cell_length_a 4.9467
_cell_length_b 4.9467
_cell_length_c 25.0950
_cell_angle_alpha 90.00
_cell_angle_beta 90.00
_cell_angle_gamma 120.00
loop_
_atom_site_label
_atom_site_fract_x
_atom_site_fract_y
_atom_site_fract_z
In1 0.0000 0.0000 0.0000
Hg1 0.0000 0.0000 0.5000
S1 0.0000 0.0000 0.2609
O1 0.0000 0.0000 0.2019
O2 0.0171 0.2932 0.7190
# * final energy: -5.45 eV/atom
# * total magnetization: 0.41 μB per formula unit
# * E_form (uncorrected): -1206 meV per atom